Entry 1:
# TiVRu2 | Alexandria | PBE | optimized geometry
data_TiVRu2
_chemical_formula_sum 'Ti1 V1 Ru2'
_symmetry_space_group_name_H-M 'P 4/m m m'
_symmetry_Int_Tables_number 123
_symmetry_space_group_name_Hall '-P 4 2'
_cell_length_a 4.318
_cell_length_b 4.318
_cell_length_c 3.029
_cell_angle_alpha 90.00
_cell_angle_beta 90.00
_cell_angle_gamma 90.00
loop_
_atom_site_label
_atom_site_type_symbol
_atom_site_fract_x
_atom_site_fract_y
_atom_site_fract_z
Ti1 Ti 0.000 0.000 0.000
V1 V 0.500 0.500 0.000
Ru1 Ru 0.000 0.500 0.500
# **VASP energy**: -37.52 eV per formula unit
# **Fermi-level density of states**: 3.3 states/eV/cell
# **Calculated formation energy**: -489 meV per atom

***

Entry 2:
# SrInSi2 | Alexandria | PBE | optimized geometry
data_SrInSi2
_chemical_formula_sum 'Sr1 In1 Si2'
_symmetry_space_group_name_H-M 'P 4 m m'
_symmetry_Int_Tables_number 99
_symmetry_space_group_name_Hall 'P 4 -2'
_cell_length_a 3.566
_cell_length_b 3.566
_cell_length_c 7.291
_cell_angle_alpha 90.00
_cell_angle_beta 90.00
_cell_angle_gamma 90.00
loop_
_atom_site_label
_atom_site_type_symbol
_atom_site_fract_x
_atom_site_fract_y
_atom_site_fract_z
Sr1 Sr 0.000 0.000 0.000
In1 In 0.500 0.500 0.335
Si1 Si 0.000 0.000 0.578
Si2 Si 0.500 0.500 0.703
# **VASP energy**: -15.35 eV per formula unit
# **Fermi-level density of states**: 1.1 states/eV/cell

***

Entry 3:
# Al2CoTe | Alexandria | PBE | optimized geometry
data_Al2CoTe
_chemical_formula_sum 'Al4 Co2 Te2'
_symmetry_space_group_name_H-M 'I m m 2'
_symmetry_Int_Tables_number 44
_symmetry_space_group_name_Hall 'I 2 -2'
_cell_length_a 3.676
_cell_length_b 4.728
_cell_length_c 7.992
_cell_angle_alpha 90.00
_cell_angle_beta 90.00
_cell_angle_gamma 90.00
loop_
_atom_site_label
_atom_site_type_symbol
_atom_site_fract_x
_atom_site_fract_y
_atom_site_fract_z
Al1 Al 0.000 0.000 0.000
Al2 Al 0.000 0.500 0.236
Co1 Co 0.000 0.500 0.707
Te1 Te 0.000 0.000 0.462
# **VASP energy**: -16.63 eV per formula unit
# **Fermi-level density of states**: 5.5 states/eV/cell

***

Entry 4:
# RbAgMoI6 | Alexandria | PBE | optimized geometry
data_RbAgMoI6
_chemical_formula_sum 'Rb2 Ag2 Mo2 I12'
_symmetry_space_group_name_H-M 'P -3 1 c'
_symmetry_Int_Tables_number 163
_symmetry_space_group_name_Hall '-P 3 2c'
_cell_length_a 7.6385
_cell_length_b 7.6385
_cell_length_c 16.0785
_cell_angle_alpha 90.00
_cell_angle_beta 90.00
_cell_angle_gamma 120.00
loop_
_atom_site_label
_atom_site_type_symbol
_atom_site_fract_x
_atom_site_fract_y
_atom_site_fract_z
Rb1 Rb 0.0000 0.0000 0.0000
Ag1 Ag 0.3333 0.6667 0.2500
Mo1 Mo 0.3333 0.6667 0.7500
I1 I 0.0244 0.3815 0.6502
# **VASP energy**: -27.78 eV per formula unit
# **Fermi-level density of states**: 17.0 states/eV/cell

***

Entry 5:
# Cs2ZrBeTe4 | Alexandria | PBE | optimized geometry
data_Cs2ZrBeTe4
_chemical_formula_sum 'Cs16 Zr8 Be8 Te32'
_symmetry_space_group_name_H-M 'F d d d'
_symmetry_Int_Tables_number 70
_cell_length_a 6.304
_cell_length_b 15.866
_cell_length_c 27.839
_cell_angle_alpha 90.00
_cell_angle_beta 90.00
_cell_angle_gamma 90.00
loop_
_symmetry_equiv_pos_as_xyz
'x,y,z'
'-x,-y,-z'
'-x+1/4,-y+1/4,z'
'x+1/4,y+1/4,-z'
'x,-y+1/4,-z+1/4'
'-x,y+1/4,z+1/4'
'-x+1/4,y,-z+1/4'
'x+1/4,-y,z+1/4'
'x,y+1/2,z+1/2'
'-x,-y+1/2,-z+1/2'
'-x+1/4,-y+3/4,z+1/2'
'x+1/4,y+3/4,-z+1/2'
'x,-y+3/4,-z+3/4'
'-x,y+3/4,z+3/4'
'-x+1/4,y+1/2,-z+3/4'
'x+1/4,-y+1/2,z+3/4'
'x+1/2,y,z+1/2'
'-x+1/2,-y,-z+1/2'
'-x+3/4,-y+1/4,z+1/2'
'x+3/4,y+1/4,-z+1/2'
'x+1/2,-y+1/4,-z+3/4'
'-x+1/2,y+1/4,z+3/4'
'-x+3/4,y,-z+3/4'
'x+3/4,-y,z+3/4'
'x+1/2,y+1/2,z'
'-x+1/2,-y+1/2,-z'
'-x+3/4,-y+3/4,z'
'x+3/4,y+3/4,-z'
'x+1/2,-y+3/4,-z+1/4'
'-x+1/2,y+3/4,z+1/4'
'-x+3/4,y+1/2,-z+1/4'
'x+3/4,-y+1/2,z+1/4'
loop_
_atom_site_label
_atom_site_type_symbol
_atom_site_fract_x
_atom_site_fract_y
_atom_site_fract_z
Cs1 Cs 0.125 0.125 0.304
Zr1 Zr 0.125 0.125 0.125
Be1 Be 0.125 0.125 0.625
Te1 Te 0.098 0.281 0.822
# **VASP energy**: -33.50 eV per formula unit
# **Fermi-level density of states**: 0.0 states/eV/cell

***

Entry 6:
# KAsW | Alexandria | PBE | optimized geometry
data_KAsW
_chemical_formula_sum 'K1 As1 W1'
_symmetry_space_group_name_H-M 'P 3 m 1'
_symmetry_Int_Tables_number 156
_symmetry_space_group_name_Hall 'P 3 -2"'
_cell_length_a 3.2080
_cell_length_b 3.2080
_cell_length_c 7.5229
_cell_angle_alpha 90.00
_cell_angle_beta 90.00
_cell_angle_gamma 120.00
loop_
_atom_site_label
_atom_site_type_symbol
_atom_site_fract_x
_atom_site_fract_y
_atom_site_fract_z
K1 K 0.0000 0.0000 0.0000
As1 As 0.3333 0.6667 0.6377
W1 W 0.6667 0.3333 0.4102
# **VASP energy**: -16.97 eV per formula unit
# **Energy above the lowest structure with this stoichiometry**: 723 meV/atom
# **Calculated formation energy**: 575 meV per atom

***

Entry 7:
# PmGa4PdAu2 | Alexandria | PBE | optimized geometry
data_PmGa4PdAu2
_chemical_formula_sum 'Pm3 Ga12 Pd3 Au6'
_symmetry_space_group_name_H-M 'R -3 m'
_symmetry_Int_Tables_number 166
_symmetry_space_group_name_Hall '-R 3 2"'
_cell_length_a 4.4035
_cell_length_b 4.4035
_cell_length_c 26.8416
_cell_angle_alpha 90.00
_cell_angle_beta 90.00
_cell_angle_gamma 120.00
loop_
_atom_site_label
_atom_site_type_symbol
_atom_site_fract_x
_atom_site_fract_y
_atom_site_fract_z
Pm1 Pm 0.0000 0.0000 0.0000
Ga1 Ga 0.0000 0.0000 0.1323
Ga2 Ga 0.0000 0.0000 0.3979
Pd1 Pd 0.0000 0.0000 0.5000
Au1 Au 0.0000 0.0000 0.2459
# **VASP energy**: -32.47 eV per formula unit
# **Fermi-level density of states**: 9.4 states/eV/cell
# **Calculated formation energy**: -483 meV per atom

***

Entry 8:
# Mg2BeCdF | Alexandria | PBE | optimized geometry
data_Mg2BeCdF
_chemical_formula_sum 'Mg2 Be1 Cd1 F1'
_symmetry_space_group_name_H-M 'P 4/m m m'
_symmetry_Int_Tables_number 123
_symmetry_space_group_name_Hall '-P 4 2'
_cell_length_a 5.514
_cell_length_b 5.514
_cell_length_c 3.261
_cell_angle_alpha 90.00
_cell_angle_beta 90.00
_cell_angle_gamma 90.00
loop_
_atom_site_label
_atom_site_type_symbol
_atom_site_fract_x
_atom_site_fract_y
_atom_site_fract_z
Mg1 Mg 0.000 0.500 0.000
Be1 Be 0.000 0.000 0.000
Cd1 Cd 0.500 0.500 0.500
F1 F 0.000 0.000 0.500
# **VASP energy**: -11.35 eV per formula unit
# **Fermi-level density of states**: 3.1 states/eV/cell

***

Entry 9:
# AcPuMgSi2 | Alexandria | PBE | optimized geometry
data_AcPuMgSi2
_chemical_formula_sum 'Ac2 Pu2 Mg2 Si4'
_symmetry_space_group_name_H-M 'I -4 m 2'
_symmetry_Int_Tables_number 119
_symmetry_space_group_name_Hall 'I -4 -2'
_cell_length_a 4.589
_cell_length_b 4.589
_cell_length_c 11.716
_cell_angle_alpha 90.00
_cell_angle_beta 90.00
_cell_angle_gamma 90.00
loop_
_atom_site_label
_atom_site_type_symbol
_atom_site_fract_x
_atom_site_fract_y
_atom_site_fract_z
Ac1 Ac 0.000 0.000 0.000
Pu1 Pu 0.000 0.500 0.250
Mg1 Mg 0.000 0.500 0.750
Si1 Si 0.000 0.000 0.396
# **VASP energy**: -32.66 eV per formula unit
# **Fermi-level density of states**: 22.2 states/eV/cell

***

Entry 10:
# CeSm3Er8 | Alexandria | PBE | optimized geometry
data_CeSm3Er8
_chemical_formula_sum 'Ce2 Sm6 Er16'
_symmetry_space_group_name_H-M 'I -4 2 m'
_symmetry_Int_Tables_number 121
_symmetry_space_group_name_Hall 'I -4 2'
_cell_length_a 8.645
_cell_length_b 8.645
_cell_length_c 11.259
_cell_angle_alpha 90.00
_cell_angle_beta 90.00
_cell_angle_gamma 90.00
loop_
_atom_site_label
_atom_site_type_symbol
_atom_site_fract_x
_atom_site_fract_y
_atom_site_fract_z
Ce1 Ce 0.000 0.000 0.000
Sm1 Sm 0.000 0.000 0.500
Sm2 Sm 0.000 0.500 0.250
Er1 Er 0.125 0.125 0.235
Er2 Er 0.232 0.232 0.969
# **VASP energy**: -49.13 eV per formula unit
# **Fermi-level density of states**: 37.2 states/eV/cell
# **Calculated formation energy**: 622 meV per atom

***

Entry 11:
# Ca2ScPt | Alexandria | PBE | optimized geometry
data_Ca2ScPt
_chemical_formula_sum 'Ca8 Sc4 Pt4'
_symmetry_space_group_name_H-M 'I -4 2 d'
_symmetry_Int_Tables_number 122
_symmetry_space_group_name_Hall 'I -4 2bw'
_cell_length_a 10.137
_cell_length_b 10.137
_cell_length_c 5.165
_cell_angle_alpha 90.00
_cell_angle_beta 90.00
_cell_angle_gamma 90.00
loop_
_atom_site_label
_atom_site_type_symbol
_atom_site_fract_x
_atom_site_fract_y
_atom_site_fract_z
Ca1 Ca 0.117 0.250 0.125
Sc1 Sc 0.000 0.000 0.500
Pt1 Pt 0.000 0.000 0.000
# **VASP energy**: -17.57 eV per formula unit
# **Fermi-level density of states**: 12.3 states/eV/cell
# **Energy above the lowest structure with this stoichiometry**: 256 meV/atom
# **Calculated formation energy**: -298 meV per atom